Entry 1:
Below is a relaxed structure of CdHgRu2, with properties calculated at the GGA-PBEsol level.

a b c (Å): 9.6990 9.6990 9.6990
angles (deg): 16.72 16.72 16.72
Positions (direct):
Cd: 0.0000 0.0000 0.0000
Hg: 0.2359 0.2359 0.2359
Ru: 0.4845 0.4845 0.4845
Ru: 0.7497 0.7497 0.7497

Output
- Distance to the lowest polymorph of the same formula: 0 meV/atom
- Calculated formation energy: 0.2894 eV/atom
- Uncorrected energy: -5.238 eV per atom

---

Entry 2:
Below is a relaxed structure of Ag2Br3, with properties calculated at the GGA-PBEsol level.

a b c (Å): 9.1679 9.1679 9.1679
angles (deg): 25.17 25.17 25.17
Positions (direct):
Ag: 0.1029 0.1029 0.1029
Ag: 0.8971 0.8971 0.8971
Br: 0.2807 0.2807 0.2807
Br: 0.5000 0.5000 0.5000
Br: 0.7193 0.7193 0.7193

Output
- Distance to the lowest polymorph of the same formula: 17 meV/atom
- Uncorrected formation energy: -214 meV/atom
- Uncorrected energy: -2.660 eV per atom

---

Entry 3:
Below is a relaxed structure of BiP2NCl, with properties calculated at the GGA-PBEsol level.

a b c (Å): 3.9060 3.9060 5.7315
angles (deg): 90.00 90.00 90.00
Positions (direct):
Bi: 0.0000 0.0000 0.0000
P: 0.0000 0.5000 0.5000
P: 0.5000 0.0000 0.5000
N: 0.5000 0.5000 0.5000
Cl: 0.5000 0.5000 0.0000

Output
- Uncorrected formation energy: 649 meV/atom
- Uncorrected energy: -4.632 eV per atom

---

Entry 4:
Below is a relaxed structure of La2CoHg, with properties calculated at the GGA-PBEsol level.

a b c (Å): 3.9155 5.8913 5.8913
angles (deg): 47.11 90.00 90.00
Positions (direct):
La: 0.0000 0.0000 0.0000
La: 0.5000 0.3085 0.3085
Co: 0.0000 0.7866 0.7866
Hg: 0.5000 0.6076 0.6076

Output
- Calculated formation energy: -0.2309 eV/atom
- Uncorrected energy: -4.980 eV per atom

---

Entry 5:
Below is a relaxed structure of AgOsPbBr2, with properties calculated at the GGA-PBEsol level.

a b c (Å): 5.6735 5.6735 5.3206
angles (deg): 90.00 90.00 90.00
Positions (direct):
Ag: 0.0000 0.0000 0.0000
Os: 0.5000 0.5000 0.0000
Pb: 0.0000 0.0000 0.5000
Br: 0.0000 0.5000 0.5000
Br: 0.5000 0.0000 0.5000

Output
- Uncorrected formation energy: 1583 meV/atom
- Uncorrected energy: -3.070 eV per atom

---

Entry 6:
Below is a relaxed structure of HfCoNO2, with properties calculated at the GGA-PBEsol level.

a b c (Å): 3.5658 3.5658 3.6714
angles (deg): 90.00 90.00 90.00
Positions (direct):
Hf: 0.0000 0.0000 0.0000
Co: 0.5000 0.5000 0.5000
N: 0.5000 0.5000 0.0000
O: 0.0000 0.5000 0.5000
O: 0.5000 0.0000 0.5000

Output
- Uncorrected formation energy: -1091 meV/atom
- Uncorrected energy: -8.544 eV per atom

---

Entry 7:
Below is a relaxed structure of BaTe2O6, with properties calculated at the GGA-PBEsol level.

a b c (Å): 6.9979 6.9979 7.3847
angles (deg): 90.00 90.00 132.92
Positions (direct):
Ba: 0.2211 0.7789 0.7500
Ba: 0.7789 0.2211 0.2500
Te: 0.0847 0.9153 0.2500
Te: 0.5000 0.5000 0.0000
Te: 0.5000 0.5000 0.5000
Te: 0.9153 0.0847 0.7500
O: 0.1558 0.3693 0.5449
O: 0.1558 0.3693 0.9551
O: 0.2285 0.7715 0.2500
O: 0.3693 0.1558 0.0449
O: 0.3693 0.1558 0.4551
O: 0.4508 0.5492 0.2500
O: 0.5492 0.4508 0.7500
O: 0.6307 0.8442 0.5449
O: 0.6307 0.8442 0.9551
O: 0.7715 0.2285 0.7500
O: 0.8442 0.6307 0.0449
O: 0.8442 0.6307 0.4551

Output
- Uncorrected formation energy: -1574 meV/atom
- Uncorrected energy: -6.096 eV per atom

---

Entry 8:
Below is a relaxed structure of ZrPHO2, with properties calculated at the GGA-PBEsol level.

a b c (Å): 3.9334 3.9334 3.0261
angles (deg): 90.00 90.00 90.00
Positions (direct):
Zr: 0.0000 0.0000 0.0000
P: 0.5000 0.5000 0.0000
H: 0.5000 0.5000 0.5000
O: 0.0000 0.5000 0.5000
O: 0.5000 0.0000 0.5000

Output
- Uncorrected energy: -6.356 eV per atom

---

Q: Which of these has the highest uncorrected energy?
A: Ag2Br3